DFT (PBE) results for crystalline Tb3YAu4 at its relaxed geometry.

Structure (POSCAR):
```
Tb3YAu4
1.0
2.555 1.475 8.361
-2.555 1.475 8.361
0.000 -2.950 8.361
Tb Y Au
3 1 4
Direct
0.000 0.000 0.000
0.250 0.250 0.250
0.750 0.750 0.750
0.500 0.500 0.500
0.125 0.125 0.125
0.375 0.375 0.375
0.625 0.625 0.625
0.875 0.875 0.875
```

crystal system = trigonal
SG = R-3m (166)
energy relative to the elements = -852 meV per atom